Entry 1:
Entry from OQMD: FeB2Os after structural relaxation (PBE-GGA).

a b c (Å): 3.822 3.822 3.822
angles (deg): 60.00 60.00 60.00
Fractional positions:
B  0.000  0.000  0.000
B  0.750  0.750  0.750
Fe  0.250  0.250  0.250
Os  0.500  0.500  0.500

Computed properties:
E_tot, eV per atom: -7.271
SG: F-43m, No. 216

Entry 2:
Entry from OQMD: HoZnGa after structural relaxation (PBE-GGA).

a b c (Å): 4.702 4.702 4.702
angles (deg): 60.00 60.00 60.00
Fractional positions:
Ga  0.250  0.250  0.250
Ho  0.000  0.000  0.000
Zn  0.750  0.750  0.750

Computed properties:
E_tot, eV per atom: -2.900
SG: F-43m, No. 216